Below is crystalline CePuGePb at its relaxed geometry, with properties calculated at the PBE level.

Cell and atoms, written as POSCAR:
```
CePuGePb
1.0
0.000 3.757 3.757
3.757 0.000 3.757
3.757 3.757 0.000
Ce Pu Ge Pb
1 1 1 1
Direct
0.000 0.000 0.000 Ce
0.500 0.500 0.500 Pu
0.750 0.750 0.750 Ge
0.250 0.250 0.250 Pb
```

Values from the calculation:
The density comes out at 10.4 g/cm³. Its offset from the most stable computed form is 0.154 eV/atom. The energy of formation from the pure elements is -101 kJ/mol of formula units. The volume comes out at 106.1 Å³/f.u. As for the space group: No. 216. The spin magnetization is 7.0 μB per formula unit.